Entry 1:
# LaCdMoRh2

An optimized crystal structure of LaCdMoRh2 (PBE, the Alexandria database).

Results
- DOS at the Fermi energy: 4.7 states/eV per cell
- Spin magnetization: 4.49 μB/cell
- Calculated density: 6.980 g cm⁻³
- VASP energy: -4.791 eV/atom

```
data_LaCdMoRh2
_symmetry_space_group_name_H-M 'P 4/m m m'
_symmetry_Int_Tables_number 123
_symmetry_space_group_name_Hall '-P 4 2'
_cell_length_a 4.929
_cell_length_b 4.929
_cell_length_c 5.414
_cell_angle_alpha 90.00
_cell_angle_beta 90.00
_cell_angle_gamma 90.00
loop_
_atom_site_label
_atom_site_fract_x
_atom_site_fract_y
_atom_site_fract_z
La1 0.000 0.000 0.000
Cd1 0.000 0.000 0.500
Mo1 0.500 0.500 0.000
Rh1 0.000 0.500 0.500
```

=====

Entry 2:
# LaCdMo2Ru

An optimized crystal structure of LaCdMo2Ru (PBE, the Alexandria database).

Results
- DOS at the Fermi energy: 8.2 states/eV per cell
- Spin magnetization: 4.87 μB/cell
- Calculated density: 7.228 g cm⁻³
- VASP energy: -5.594 eV/atom

```
data_LaCdMo2Ru
_symmetry_space_group_name_H-M 'P 4/m m m'
_symmetry_Int_Tables_number 123
_symmetry_space_group_name_Hall '-P 4 2'
_cell_length_a 5.017
_cell_length_b 5.017
_cell_length_c 4.967
_cell_angle_alpha 90.00
_cell_angle_beta 90.00
_cell_angle_gamma 90.00
loop_
_atom_site_label
_atom_site_fract_x
_atom_site_fract_y
_atom_site_fract_z
La1 0.000 0.000 0.000
Cd1 0.500 0.500 0.500
Mo1 0.000 0.500 0.500
Ru1 0.500 0.500 0.000
```

=====

Entry 3:
# LaTaCd2Mo

An optimized crystal structure of LaTaCd2Mo (PBE, the Alexandria database).

Results
- DOS at the Fermi energy: 3.9 states/eV per cell
- Spin magnetization: 0.94 μB/cell
- Calculated density: 7.755 g cm⁻³
- VASP energy: -5.141 eV/atom

```
data_LaTaCd2Mo
_symmetry_space_group_name_H-M 'P 4/m m m'
_symmetry_Int_Tables_number 123
_symmetry_space_group_name_Hall '-P 4 2'
_cell_length_a 5.402
_cell_length_b 5.402
_cell_length_c 4.702
_cell_angle_alpha 90.00
_cell_angle_beta 90.00
_cell_angle_gamma 90.00
loop_
_atom_site_label
_atom_site_fract_x
_atom_site_fract_y
_atom_site_fract_z
La1 0.000 0.000 0.000
Ta1 0.500 0.500 0.500
Cd1 0.000 0.500 0.500
Mo1 0.500 0.500 0.000
```

=====

Entry 4:
# LaTiCd2Mo

An optimized crystal structure of LaTiCd2Mo (PBE, the Alexandria database).

Results
- DOS at the Fermi energy: 4.9 states/eV per cell
- Spin magnetization: 0.00 μB/cell
- Calculated density: 6.414 g cm⁻³
- VASP energy: -4.751 eV/atom

```
data_LaTiCd2Mo
_symmetry_space_group_name_H-M 'P 4/m m m'
_symmetry_Int_Tables_number 123
_symmetry_space_group_name_Hall '-P 4 2'
_cell_length_a 5.389
_cell_length_b 5.389
_cell_length_c 4.525
_cell_angle_alpha 90.00
_cell_angle_beta 90.00
_cell_angle_gamma 90.00
loop_
_atom_site_label
_atom_site_fract_x
_atom_site_fract_y
_atom_site_fract_z
La1 0.000 0.000 0.000
Ti1 0.500 0.500 0.000
Cd1 0.000 0.500 0.500
Mo1 0.500 0.500 0.500
```

=====

Entry 5:
# LaTl2CdMo

An optimized crystal structure of LaTl2CdMo (PBE, the Alexandria database).

Results
- DOS at the Fermi energy: 4.4 states/eV per cell
- Spin magnetization: 0.24 μB/cell
- Calculated density: 8.472 g cm⁻³
- VASP energy: -3.939 eV/atom

```
data_LaTl2CdMo
_symmetry_space_group_name_H-M 'P 4/m m m'
_symmetry_Int_Tables_number 123
_symmetry_space_group_name_Hall '-P 4 2'
_cell_length_a 5.300
_cell_length_b 5.300
_cell_length_c 5.274
_cell_angle_alpha 90.00
_cell_angle_beta 90.00
_cell_angle_gamma 90.00
loop_
_atom_site_label
_atom_site_fract_x
_atom_site_fract_y
_atom_site_fract_z
La1 0.000 0.000 0.000
Tl1 0.000 0.500 0.500
Cd1 0.500 0.500 0.000
Mo1 0.500 0.500 0.500
```

=====

Entry 6:
# La2ZnCdMo

An optimized crystal structure of La2ZnCdMo (PBE, the Alexandria database).

Results
- DOS at the Fermi energy: 8.0 states/eV per cell
- Spin magnetization: 2.03 μB/cell
- Calculated density: 5.152 g cm⁻³
- VASP energy: -3.545 eV/atom

```
data_La2ZnCdMo
_symmetry_space_group_name_H-M 'P 4/m m m'
_symmetry_Int_Tables_number 123
_symmetry_space_group_name_Hall '-P 4 2'
_cell_length_a 5.902
_cell_length_b 5.902
_cell_length_c 5.103
_cell_angle_alpha 90.00
_cell_angle_beta 90.00
_cell_angle_gamma 90.00
loop_
_atom_site_label
_atom_site_fract_x
_atom_site_fract_y
_atom_site_fract_z
La1 0.000 0.500 0.000
Zn1 0.000 0.000 0.500
Cd1 0.500 0.500 0.000
Mo1 0.500 0.500 0.500
```